Entry 1:
A relaxed structure of TcAsRh2, computed with PBE.

Computed properties:
* DOS at the Fermi energy: 0.861 states/eV/atom
* total energy: -7.474 eV per atom

Cell: 4.7505 4.7505 4.5198 Å, 85.23 85.23 35.17°
Positions (direct):
Tc: 0.7500 0.7500 0.7500
Rh: 0.0127 0.0127 0.9921
Rh: 0.4873 0.4873 0.5079
As: 0.2500 0.2500 0.2500

Entry 2:
A relaxed structure of Tc2AsRh, computed with PBE.

Computed properties:
* DOS at the Fermi energy: 0.541 states/eV/atom
* total energy: -8.230 eV per atom

Cell: 2.8987 2.8987 6.9488 Å, 90.00 90.00 90.00°
Positions (direct):
Tc: 0.0000 0.0000 0.0130
Tc: 0.5000 0.5000 0.2594
As: 0.0000 0.0000 0.4976
Rh: 0.5000 0.5000 0.7300

Entry 3:
A relaxed structure of TcAs4Rh, computed with PBE.

Computed properties:
* DOS at the Fermi energy: 0.975 states/eV/atom
* ΔE to the lowest computed polymorph: 0.0000 eV/atom
* total energy: -6.127 eV per atom

Cell: 5.9768 6.0588 6.1079 Å, 90.00 89.49 90.00°
Positions (direct):
As: 0.3830 0.8821 0.1240
As: 0.6170 0.1179 0.8760
As: 0.6199 0.6247 0.6247
As: 0.1170 0.3821 0.8760
As: 0.8801 0.1247 0.3753
As: 0.1199 0.8753 0.6247
As: 0.3801 0.3753 0.3753
As: 0.8830 0.6179 0.1240
Rh: 0.5000 0.5000 0.0000
Rh: 0.0000 0.0000 0.0000
Tc: 0.0000 0.5000 0.5000
Tc: 0.5000 0.0000 0.5000

Entry 4:
A relaxed structure of Tc2AsRh, computed with PBE.

Computed properties:
* DOS at the Fermi energy: 1.063 states/eV/atom
* total energy: -8.134 eV per atom

Cell: 4.7146 4.7146 4.7146 Å, 131.37 131.37 71.22°
Positions (direct):
As: 0.5000 0.5000 0.0000
Tc: 0.0000 0.0000 0.0000
Tc: 0.2500 0.7500 0.5000
Rh: 0.7500 0.2500 0.5000

Entry 5:
A relaxed structure of Tc2AsRh, computed with PBE.

Computed properties:
* DOS at the Fermi energy: 1.189 states/eV/atom
* total energy: -8.117 eV per atom

Cell: 4.8270 4.8270 4.5296 Å, 86.19 86.19 34.54°
Positions (direct):
Tc: 0.4798 0.4798 0.5116
Tc: 0.0202 0.0202 0.9884
Rh: 0.7500 0.7500 0.7500
As: 0.2500 0.2500 0.2500

Entry 6:
A relaxed structure of Tc2AsRh, computed with PBE.

Computed properties:
* DOS at the Fermi energy: 0.978 states/eV/atom
* total energy: -8.141 eV per atom

Cell: 2.8772 3.8308 5.3895 Å, 90.00 90.00 90.00°
Positions (direct):
Rh: 0.5000 0.5000 0.7299
As: 0.0000 0.0000 0.5155
Tc: 0.5000 0.5000 0.2267
Tc: 0.0000 0.0000 0.0279